DFT (PBE) results for a relaxed KW crystal.

Summary:
The value obtained for the formation energy from the elements is 3.06 eV/atom. Its crystal system is cubic.

Geometry as CIF:
```
data_KW
_symmetry_space_group_name_H-M 'P 21 3'
_symmetry_Int_Tables_number 198
_symmetry_space_group_name_Hall 'P 2ac 2ab 3'
_cell_length_a 6.670
_cell_length_b 6.670
_cell_length_c 6.670
_cell_angle_alpha 90.00
_cell_angle_beta 90.00
_cell_angle_gamma 90.00
loop_
_atom_site_label
_atom_site_fract_x
_atom_site_fract_y
_atom_site_fract_z
K1 0.095 0.405 0.595
W1 0.102 0.898 0.398
```